## Zn2CrWO6 (PBE+U)

Data for an optimized crystal structure of Zn2CrWO6.

a = 5.2500 Å, b = 5.2867 Å, c = 9.2958 Å
α = 90.00°, β = 123.95°, γ = 90.00°
Last column: nearest neighbours and their distance in Å.
Space group P2_1/c (No. 14)
Asymmetric unit:
Zn 0.2400 0.0275 0.2503 (multiplicity 4)  4 O 2.02-2.11
Cr 0.0000 0.0000 0.5000 (multiplicity 2)  6 O 2.02-2.07
W 0.5000 0.0000 0.0000 (multiplicity 2)  6 O 1.98-2.07
O 0.1367 0.0866 0.7509 (multiplicity 4)  2 Zn 2.06-2.11, 1 W 2.07, 1 Cr 2.07
O 0.2377 0.6725 0.5607 (multiplicity 4)  1 W 1.98, 1 Cr 2.02, 1 Zn 2.05
O 0.3953 0.1759 0.5678 (multiplicity 4)  1 W 2.01, 1 Zn 2.02, 1 Cr 2.03

## Properties
- final energy (eV per atom) = -6.4091
- relative energy among the computed polymorphs (meV/atom) = 0